(1)
# BaNaHg2 | OQMD | PBE | optimized geometry
data_BaNaHg2
_cell_length_a 4.0674
_cell_length_b 4.0674
_cell_length_c 7.5626
_cell_angle_alpha 90.00
_cell_angle_beta 90.00
_cell_angle_gamma 90.00
_symmetry_space_group_name_H-M 'P 1'
_symmetry_Int_Tables_number 1
loop_
_symmetry_equiv_pos_as_xyz
'x,y,z'
loop_
_atom_site_label
_atom_site_fract_x
_atom_site_fract_y
_atom_site_fract_z
_atom_site_occupancy
Ba1 0.0000 0.0000 0.0000 1
Na1 0.0000 0.0000 0.5000 1
Hg1 0.5000 0.5000 0.2865 1
Hg2 0.5000 0.5000 0.7135 1
# - SG = P4/mmm (123)
# - energy above the lowest structure with this stoichiometry (eV/f.u.) = 0.093

***

(2)
# ZrTl2P2O8 | OQMD | PBE | optimized geometry
data_ZrTl2P2O8
_cell_length_a 5.1668
_cell_length_b 5.1668
_cell_length_c 9.1798
_cell_angle_alpha 90.00
_cell_angle_beta 90.00
_cell_angle_gamma 120.00
_symmetry_space_group_name_H-M 'P 1'
_symmetry_Int_Tables_number 1
loop_
_symmetry_equiv_pos_as_xyz
'x,y,z'
loop_
_atom_site_label
_atom_site_fract_x
_atom_site_fract_y
_atom_site_fract_z
_atom_site_occupancy
Zr1 0.0000 0.0000 0.0000 1
Tl1 0.3333 0.6667 0.6437 1
Tl2 0.6667 0.3333 0.3563 1
P1 0.3333 0.6667 0.1913 1
P2 0.6667 0.3333 0.8087 1
O1 0.0843 0.7233 0.1332 1
O2 0.2767 0.3610 0.1332 1
O3 0.3333 0.6667 0.3573 1
O4 0.3610 0.0843 0.8668 1
O5 0.6390 0.9157 0.1332 1
O6 0.6667 0.3333 0.6427 1
O7 0.7233 0.6390 0.8668 1
O8 0.9157 0.2767 0.8668 1
# - SG = P-3 (147)
# - total moment (μB/cell) = 0.0

***

(3)
# YCoSiPt | OQMD | PBE | optimized geometry
data_YCoSiPt
_cell_length_a 4.6088
_cell_length_b 4.6088
_cell_length_c 4.6088
_cell_angle_alpha 60.00
_cell_angle_beta 60.00
_cell_angle_gamma 60.00
_symmetry_space_group_name_H-M 'P 1'
_symmetry_Int_Tables_number 1
loop_
_symmetry_equiv_pos_as_xyz
'x,y,z'
loop_
_atom_site_label
_atom_site_fract_x
_atom_site_fract_y
_atom_site_fract_z
_atom_site_occupancy
Y1 0.0000 0.0000 0.0000 1
Co1 0.5000 0.5000 0.5000 1
Si1 0.2500 0.2500 0.2500 1
Pt1 0.7500 0.7500 0.7500 1
# - SG = F-43m (216)
# - energy above the lowest structure with this stoichiometry (eV/f.u.) = 0.843
# - total moment (μB/cell) = 2.1

***

(4)
# NaHoAsO | OQMD | PBE | optimized geometry
data_NaHoAsO
_cell_length_a 3.8727
_cell_length_b 3.8727
_cell_length_c 10.3532
_cell_angle_alpha 90.00
_cell_angle_beta 90.00
_cell_angle_gamma 90.00
_symmetry_space_group_name_H-M 'P 1'
_symmetry_Int_Tables_number 1
loop_
_symmetry_equiv_pos_as_xyz
'x,y,z'
loop_
_atom_site_label
_atom_site_fract_x
_atom_site_fract_y
_atom_site_fract_z
_atom_site_occupancy
Na1 0.2500 0.7500 0.0000 1
Na2 0.7500 0.2500 0.0000 1
Ho1 0.2500 0.2500 0.3941 1
Ho2 0.7500 0.7500 0.6059 1
As1 0.2500 0.2500 0.7884 1
As2 0.7500 0.7500 0.2116 1
O1 0.2500 0.7500 0.5000 1
O2 0.7500 0.2500 0.5000 1
# - SG = P4/nmm (129)
# - energy above the lowest structure with this stoichiometry (eV/f.u.) = 0.000
# - total moment (μB/cell) = 0.0

***

(5)
# Ba2NdOsSe6 | OQMD | PBE | optimized geometry
data_Ba2NdOsSe6
_cell_length_a 7.2585
_cell_length_b 7.2590
_cell_length_c 7.5096
_cell_angle_alpha 118.89
_cell_angle_beta 118.58
_cell_angle_gamma 90.00
_symmetry_space_group_name_H-M 'P 1'
_symmetry_Int_Tables_number 1
loop_
_symmetry_equiv_pos_as_xyz
'x,y,z'
loop_
_atom_site_label
_atom_site_fract_x
_atom_site_fract_y
_atom_site_fract_z
_atom_site_occupancy
Ba1 0.2486 0.2516 0.0000 1
Ba2 0.7514 0.7484 0.0000 1
Nd1 0.5000 0.0000 0.5000 1
Os1 0.0000 0.5000 0.5000 1
Se1 0.1573 0.1930 0.4971 1
Se2 0.2296 0.7292 0.9665 1
Se3 0.3084 0.6618 0.5059 1
Se4 0.6916 0.3382 0.4941 1
Se5 0.7704 0.2708 0.0335 1
Se6 0.8427 0.8070 0.5029 1
# - SG = P-1 (2)
# - total moment (μB/cell) = 2.4

***

(6)
# LaSmTlPd2 | OQMD | PBE | optimized geometry
data_LaSmTlPd2
_cell_length_a 3.8107
_cell_length_b 7.9714
_cell_length_c 7.9714
_cell_angle_alpha 30.75
_cell_angle_beta 90.00
_cell_angle_gamma 90.00
_symmetry_space_group_name_H-M 'P 1'
_symmetry_Int_Tables_number 1
loop_
_symmetry_equiv_pos_as_xyz
'x,y,z'
loop_
_atom_site_label
_atom_site_fract_x
_atom_site_fract_y
_atom_site_fract_z
_atom_site_occupancy
La1 0.0000 0.0000 0.0000 1
Sm1 0.0000 0.2675 0.2675 1
Tl1 0.5000 0.6362 0.6362 1
Pd1 0.5000 0.4424 0.4424 1
Pd2 0.5000 0.8251 0.8251 1
# - SG = Amm2 (38)
# - total moment (μB/cell) = 0.0

***

(7)
# Sr3Zn2Ir4 | OQMD | PBE | optimized geometry
data_Sr3Zn2Ir4
_cell_length_a 4.4163
_cell_length_b 6.0164
_cell_length_c 8.5432
_cell_angle_alpha 101.65
_cell_angle_beta 90.03
_cell_angle_gamma 111.53
_symmetry_space_group_name_H-M 'P 1'
_symmetry_Int_Tables_number 1
loop_
_symmetry_equiv_pos_as_xyz
'x,y,z'
loop_
_atom_site_label
_atom_site_fract_x
_atom_site_fract_y
_atom_site_fract_z
_atom_site_occupancy
Sr1 0.0000 0.0000 0.0000 1
Sr2 0.3715 0.7430 0.6240 1
Sr3 0.6285 0.2570 0.3760 1
Zn1 0.3355 0.6702 0.2322 1
Zn2 0.6645 0.3298 0.7678 1
Ir1 0.0779 0.1577 0.6305 1
Ir2 0.2430 0.4859 0.9241 1
Ir3 0.7570 0.5141 0.0759 1
Ir4 0.9221 0.8423 0.3695 1
# - SG = P-1 (2)
# - total moment (μB/cell) = 0.4

***

(8)
# RbGdPdS3 | OQMD | PBE | optimized geometry
data_RbGdPdS3
_cell_length_a 8.0699
_cell_length_b 8.0699
_cell_length_c 9.9274
_cell_angle_alpha 90.00
_cell_angle_beta 90.00
_cell_angle_gamma 150.45
_symmetry_space_group_name_H-M 'P 1'
_symmetry_Int_Tables_number 1
loop_
_symmetry_equiv_pos_as_xyz
'x,y,z'
loop_
_atom_site_label
_atom_site_fract_x
_atom_site_fract_y
_atom_site_fract_z
_atom_site_occupancy
Rb1 0.2457 0.7543 0.7500 1
Rb2 0.7543 0.2457 0.2500 1
Gd1 0.0000 0.0000 0.0000 1
Gd2 0.0000 0.0000 0.5000 1
Pd1 0.4962 0.5038 0.2500 1
Pd2 0.5038 0.4962 0.7500 1
S1 0.0845 0.9155 0.2500 1
S2 0.3904 0.6096 0.0780 1
S3 0.3904 0.6096 0.4220 1
S4 0.6096 0.3904 0.5780 1
S5 0.6096 0.3904 0.9220 1
S6 0.9155 0.0845 0.7500 1
# - SG = Cmcm (63)
# - total moment (μB/cell) = 0.0

***

(9)
# BaYTm | OQMD | PBE | optimized geometry
data_BaYTm
_cell_length_a 6.2376
_cell_length_b 6.2376
_cell_length_c 3.3764
_cell_angle_alpha 90.00
_cell_angle_beta 90.00
_cell_angle_gamma 120.00
_symmetry_space_group_name_H-M 'P 1'
_symmetry_Int_Tables_number 1
loop_
_symmetry_equiv_pos_as_xyz
'x,y,z'
loop_
_atom_site_label
_atom_site_fract_x
_atom_site_fract_y
_atom_site_fract_z
_atom_site_occupancy
Ba1 0.0000 0.0000 0.0000 1
Y1 0.6667 0.3333 0.0000 1
Tm1 0.3333 0.6667 0.0000 1
# - SG = P-6m2 (187)
# - energy above the lowest structure with this stoichiometry (eV/f.u.) = 0.000
# - total moment (μB/cell) = 0.5

***

(10)
# GdUPa | OQMD | PBE | optimized geometry
data_GdUPa
_cell_length_a 5.0050
_cell_length_b 5.0050
_cell_length_c 5.0050
_cell_angle_alpha 60.00
_cell_angle_beta 60.00
_cell_angle_gamma 60.00
_symmetry_space_group_name_H-M 'P 1'
_symmetry_Int_Tables_number 1
loop_
_symmetry_equiv_pos_as_xyz
'x,y,z'
loop_
_atom_site_label
_atom_site_fract_x
_atom_site_fract_y
_atom_site_fract_z
_atom_site_occupancy
Gd1 0.0000 0.0000 0.0000 1
U1 0.2500 0.2500 0.2500 1
Pa1 0.5000 0.5000 0.5000 1
# - SG = F-43m (216)
# - energy above the lowest structure with this stoichiometry (eV/f.u.) = 0.000
# - total moment (μB/cell) = 6.0

***

(11)
# ThAgB4 | OQMD | PBE | optimized geometry
data_ThAgB4
_cell_length_a 3.2456
_cell_length_b 3.2456
_cell_length_c 7.7080
_cell_angle_alpha 90.00
_cell_angle_beta 90.00
_cell_angle_gamma 120.00
_symmetry_space_group_name_H-M 'P 1'
_symmetry_Int_Tables_number 1
loop_
_symmetry_equiv_pos_as_xyz
'x,y,z'
loop_
_atom_site_label
_atom_site_fract_x
_atom_site_fract_y
_atom_site_fract_z
_atom_site_occupancy
Th1 0.0000 0.0000 0.0000 1
Ag1 0.0000 0.0000 0.5000 1
B1 0.3333 0.6667 0.2648 1
B2 0.3333 0.6667 0.7352 1
B3 0.6667 0.3333 0.2648 1
B4 0.6667 0.3333 0.7352 1
# - SG = P6/mmm (191)
# - energy above the lowest structure with this stoichiometry (eV/f.u.) = 0.445
# - total moment (μB/cell) = 0.0

***

(12)
# CdFeReSi | OQMD | PBE | optimized geometry
data_CdFeReSi
_cell_length_a 4.3296
_cell_length_b 4.3296
_cell_length_c 4.3296
_cell_angle_alpha 60.00
_cell_angle_beta 60.00
_cell_angle_gamma 60.00
_symmetry_space_group_name_H-M 'P 1'
_symmetry_Int_Tables_number 1
loop_
_symmetry_equiv_pos_as_xyz
'x,y,z'
loop_
_atom_site_label
_atom_site_fract_x
_atom_site_fract_y
_atom_site_fract_z
_atom_site_occupancy
Cd1 0.0000 0.0000 0.0000 1
Fe1 0.7500 0.7500 0.7500 1
Re1 0.2500 0.2500 0.2500 1
Si1 0.5000 0.5000 0.5000 1
# - SG = F-43m (216)
# - energy above the lowest structure with this stoichiometry (eV/f.u.) = 0.000
# - total moment (μB/cell) = 2.1

***

Respective uncorrected energy values: -1.325; -7.156; -6.496; -5.586; -5.196; -5.222; -5.092; -5.059; -3.751; -7.334; -6.056; -6.276 eV per atom.